Run A
SeO4: relaxed, PBE.

a b c (Å): 3.7841 3.7841 3.7841
angles (deg): 90.00 90.00 90.00
Site moments in Bohr magnetons follow the coordinates.
Element x y z (fractional)
O 0.0000 0.5000 0.5000  0.28
O 0.5000 0.0000 0.5000  0.28
O 0.0000 0.0000 0.0000  1.69
O 0.5000 0.5000 0.0000  0.28
Se 0.5000 0.5000 0.5000  -0.02

Properties
The calculation puts the density of states at the Fermi level at 0.670 states/eV per atom. The magnetization is 2.93 μB per cell. As for the density: 4.38 g cm⁻³. The space group is Pm-3m (221).

=====

Run B
SeO4: relaxed, PBE.

a b c (Å): 5.2446 7.6408 8.6571
angles (deg): 90.00 90.00 90.00
Site moments in Bohr magnetons follow the coordinates.
Element x y z (fractional)
O 0.5886 0.6155 0.4422  0.41
O 0.3776 0.4412 0.7859  0.42
O 0.6224 0.9412 0.7141  0.42
O 0.8874 0.1998 0.5477  0.36
O 0.3915 0.4307 0.0893  0.56
O 0.1126 0.6998 0.9523  0.36
O 0.3874 0.3002 0.4523  0.36
O 0.1224 0.5588 0.2859  0.42
O 0.0886 0.8845 0.5578  0.41
O 0.6126 0.8002 0.0477  0.36
O 0.9114 0.3845 0.9422  0.41
O 0.8776 0.0588 0.2141  0.42
O 0.6085 0.9307 0.4107  0.56
O 0.1085 0.5693 0.5893  0.56
O 0.4114 0.1155 0.0578  0.41
O 0.8915 0.0693 0.9107  0.56
Se 0.6938 0.0101 0.0604  -0.06
Se 0.8062 0.9899 0.5604  -0.06
Se 0.1938 0.4899 0.9396  -0.06
Se 0.3062 0.5101 0.4396  -0.06

Properties
The calculation puts the density of states at the Fermi level at 0.553 states/eV per atom. The magnetization is 8.04 μB per cell. As for the density: 2.74 g cm⁻³. The space group is P2_12_12_1 (19).

=====

Which of them is the most stable? Correct choice: run B.

=====

Run A
Si2SeO: relaxed, PBE.

a b c (Å): 4.3472 4.3472 4.3472
angles (deg): 60.00 60.00 60.00
Element x y z (fractional)
Se 0.5000 0.5000 0.5000
Si 0.7500 0.7500 0.7500
Si 0.2500 0.2500 0.2500
O 0.0000 0.0000 0.0000

Properties
The calculation puts the density of states at the Fermi level at 0.507 states/eV per atom. The magnetization is 0.00 μB per cell. As for the density: 4.32 g cm⁻³. The space group is Fm-3m (225).

=====

Run B
Si2SeO: relaxed, PBE.

a b c (Å): 4.4481 4.4481 7.2149
angles (deg): 72.05 72.05 90.00
Element x y z (fractional)
Se 0.7500 0.2500 0.5000
Se 0.0000 0.0000 0.0000
Si 0.8750 0.7399 0.7500
Si 0.2601 0.6250 0.2500
Si 0.4899 0.1250 0.2500
Si 0.3750 0.5101 0.7500
O 0.2500 0.7500 0.5000
O 0.5000 0.5000 0.0000

Properties
The calculation puts the density of states at the Fermi level at 0.270 states/eV per atom. The magnetization is 0.00 μB per cell. As for the density: 3.91 g cm⁻³. The space group is I-42d (122).

=====

Which of them is the most stable? Correct choice: run B.

=====

Run A
Si2Se2O: relaxed, PBE.

a b c (Å): 5.3813 5.3813 4.8797
angles (deg): 56.54 56.54 90.00
Element x y z (fractional)
Se 0.2500 0.7500 0.5000
Se 0.7500 0.2500 0.5000
O 0.0000 0.0000 0.0000
Si 0.7295 0.7295 0.5410
Si 0.2705 0.2705 0.4590

Properties
The calculation puts the density of states at the Fermi level at 0.177 states/eV per atom. The magnetization is 0.00 μB per cell. As for the density: 4.32 g cm⁻³. The space group is I4/mmm (139).

=====

Run B
Si2Se2O: relaxed, PBE.

a b c (Å): 6.7012 6.7012 3.6365
angles (deg): 90.00 90.00 90.00
Element x y z (fractional)
O 0.0000 0.0000 0.0000
O 0.5000 0.5000 0.0000
Se 0.6482 0.8518 0.5000
Se 0.3518 0.1482 0.5000
Se 0.8518 0.3518 0.5000
Se 0.1482 0.6482 0.5000
Si 0.3079 0.8079 0.0000
Si 0.6921 0.1921 0.0000
Si 0.1921 0.3079 0.0000
Si 0.8079 0.6921 0.0000

Properties
The calculation puts the density of states at the Fermi level at 0.634 states/eV per atom. The magnetization is 0.00 μB per cell. As for the density: 4.68 g cm⁻³. The space group is P4/mbm (127).

=====

Which of them is the most stable? Correct choice: run A.